First-principles (GGA+U) data for CrCdAu2O6 after structural relaxation, as listed in Alexandria.

Summary:
total DFT energy (no corrections) = -5.118 eV per atom
space-group type = C2/c (15)
total magnetic moment = 0.000 Bohr magnetons per cell

abc: 7.1981 7.1981 7.0003
angles: 104.72 104.72 88.93
With the nearest neighbours (Å) after each atom.
Fractional positions:
Cr 0.0952 0.9048 0.7500  4 O 1.65-1.69
Cr 0.9048 0.0952 0.2500  4 O 1.65-1.69
Cd 0.2256 0.7744 0.2500  4 O 2.21-2.27
Cd 0.7744 0.2256 0.7500  4 O 2.21-2.27
Au 0.3648 0.3659 0.4299  3 O 2.03-2.18
Au 0.3659 0.3648 0.9299  3 O 2.03-2.18
Au 0.6341 0.6352 0.0701  3 O 2.03-2.18
Au 0.6352 0.6341 0.5701  3 O 2.03-2.18
O 0.1301 0.1465 0.8114  1 Cr 1.69
O 0.1465 0.1301 0.3114  1 Cr 1.69
O 0.1839 0.7979 0.5571  1 Cr 1.65
O 0.2021 0.8161 0.9429  1 Cr 1.65
O 0.2480 0.4504 0.1712  2 Au 2.03, 1 Cd 2.27
O 0.4504 0.2480 0.6712  2 Au 2.03, 1 Cd 2.27
O 0.5496 0.7520 0.3288  2 Au 2.03, 1 Cd 2.27
O 0.7520 0.5496 0.8288  2 Au 2.03, 1 Cd 2.27
O 0.7979 0.1839 0.0571  1 Cr 1.65
O 0.8161 0.2021 0.4429  1 Cr 1.65
O 0.8535 0.8699 0.6886  1 Cr 1.69
O 0.8699 0.8535 0.1886  1 Cr 1.69